(1)
Material: SrEuBi
Method: DFT, GGA-PBE
State: relaxed

abc: 4.8663 5.3989 5.3989
angles: 120.00 90.00 90.00
Each line ends with the local moment (μB).
Positions (direct):
Eu: 0.8912 0.0000 0.0000  -7.03
Sr: 0.3757 0.3333 0.6667  -0.09
Bi: 0.7331 0.6667 0.3333  0.06

Results
The density of states at the Fermi level is 9.73 states/eV per cell.


(2)
Material: TbEuBi
Method: DFT, GGA-PBE
State: relaxed

abc: 4.1780 4.1780 6.2507
angles: 109.52 109.52 90.00
Each line ends with the local moment (μB).
Positions (direct):
Eu: 0.9417 0.9417 0.8834  7.12
Tb: 0.6372 0.6372 0.2745  0.70
Bi: 0.2711 0.2711 0.5421  -0.05

Results
The density of states at the Fermi level is 5.57 states/eV per cell.


no.,formation enthalpy at 0 K (meV per atom),energy above the lowest structure with this stoichiometry (meV/atom),total magnetization (μB per atom)
1,-527,121.8,2.648
2,-499,0.0,2.968